Entry from the Alexandria database: Ac3CrCl2O6 after structural relaxation (PBE with a Hubbard U).

Structure (POSCAR):
```
Ac3CrCl2O6
1.0
5.956 -3.509 0.000
5.956 3.509 0.000
-0.888 0.000 5.816
Ac Cr Cl O
3 1 2 6
Cartesian
0.000 0.000 0.000 Ac
2.534 1.754 2.908 Ac
2.534 -1.754 2.908 Ac
5.512 0.000 2.908 Cr
1.904 0.000 5.185 Cl
9.119 0.000 0.630 Cl
4.647 1.648 4.023 O
6.376 1.648 1.792 O
3.888 0.000 2.006 O
7.136 0.000 3.810 O
4.647 -1.648 4.023 O
6.376 -1.648 1.792 O
```

Results
Its density of states at the Fermi level is 0.463 states/eV per atom. The calculation puts the electronic total energy at -0.4843 Ry per atom. The value obtained for the total magnetization is 1.0 μB per cell. Its crystal system is monoclinic.